# Na3Fe2As3O12 | the Alexandria database | PBEsol | optimized geometry
data_Na3Fe2As3O12
_cell_length_a 12.273
_cell_length_b 12.273
_cell_length_c 12.273
_cell_angle_alpha 90.00
_cell_angle_beta 90.00
_cell_angle_gamma 90.00
_symmetry_space_group_name_H-M 'I a -3 d'
_symmetry_Int_Tables_number 230
_symmetry_space_group_name_Hall '-I 4bd 2c 3'
loop_
_atom_site_label
_atom_site_fract_x
_atom_site_fract_y
_atom_site_fract_z
Na1 0.000 0.250 0.125
Fe1 0.000 0.000 0.000
As1 0.000 0.250 0.375
O1 0.038 0.049 0.652
# * size of the total moment: 10.001 μB per formula unit
# * formation energy from raw total energies: -1.43 eV/atom